Material: BaBeSi2
Method: DFT, PBE
State: relaxed

The calculation puts the formation energy (no corrections) at 0.80 eV per atom. Its density of states at the Fermi level is 1.37 states/eV/f.u. The total energy is -3.320 eV/atom.

The space group is Cmmm (No. 65) and the conventional cell measures 6.046, 9.597 and 3.013 Å, with angles of 90.00, 90.00 and 90.00 degrees. The inequivalent atoms are Ba at (0.000, 0.000, 0.000), Be at (0.000, 0.500, 0.000) and Si at (0.250, 0.250, 0.500).